Computed, not measured: an optimized crystal structure of MnTcF3 at the PBE+U level of DFT.

## Properties
SG: Pm-3m (221)
Energy above the lowest structure with this stoichiometry in meV/atom: 0
Total magnetization in μB per formula unit: 5.76

Unit cell a=4.226 b=4.226 c=4.226 alpha=90.00 beta=90.00 gamma=90.00
Atoms (fractional coordinates):
Mn1 0.000 0.000 0.000
Tc1 0.500 0.500 0.500
F1 0.000 0.500 0.500
F2 0.500 0.000 0.500
F3 0.500 0.500 0.000